## Tb2TmRh3 (PBE-GGA)

Data for a relaxed structure of Tb2TmRh3.

Calculated values
N(E_F) in states/eV/cell: 0.86
Excess energy over the best structure of this formula in the dataset in kJ/mol of formula units: 164
Magnetic moment in μB per atom: 0.00
Energy in eV/cell: -39.40
ρ in Mg/m³: 10.0

abc: 4.062 5.603 6.764
angles: 114.47 107.47 90.00
Element x y z (fractional)
Tb: 0.669 0.169 0.338
Tb: 0.331 0.831 0.662
Tm: 0.000 0.500 0.000
Rh: 0.341 0.341 0.681
Rh: 0.000 0.000 0.000
Rh: 0.659 0.659 0.319